one.
Mg2In2Pd: optimized geometry, GGA-PBE.

The space group is P4/mbm (No. 127) and the conventional cell measures 6.979, 6.979 and 4.524 Å, with angles of 90.00, 90.00 and 90.00 degrees. The asymmetric unit holds Mg at (0.152, 0.348, 0.000), In at (0.161, 0.661, 0.500) and Pd at (0.000, 0.000, 0.000).

Its crystal system is tetragonal. Its size of the total moment is 0.000 μB/cell.

=====

two.
Mg2In2Pd: optimized geometry, GGA-PBE.

The space group is I4/mmm (No. 139) and the conventional cell measures 3.164, 3.164 and 21.202 Å, with angles of 90.00, 90.00 and 90.00 degrees. The asymmetric unit holds Mg at (0.000, 0.000, 0.076), In at (0.000, 0.000, 0.310) and Pd at (0.000, 0.000, 0.500).

Its crystal system is tetragonal. Its size of the total moment is 0.000 μB/cell.

=====

Short version: two is the most stable of them.

=====

one.
Mg2In2Pd: optimized geometry, GGA-PBE.

The space group is I4_1/amd (No. 141, origin choice 2) and the conventional cell measures 4.487, 4.487 and 22.214 Å, with angles of 90.00, 90.00 and 90.00 degrees. The asymmetric unit holds Mg at (0.000, 0.250, 0.054), In at (0.000, 0.250, 0.197) and Pd at (0.000, 0.250, 0.375).

Its crystal system is tetragonal. Its size of the total moment is 0.000 μB/cell.

=====

two.
Mg2In2Pd: optimized geometry, GGA-PBE.

The space group is P4/mbm (No. 127) and the conventional cell measures 7.092, 7.092 and 4.412 Å, with angles of 90.00, 90.00 and 90.00 degrees. The asymmetric unit holds Mg at (0.164, 0.336, 0.000), In at (0.145, 0.645, 0.500) and Pd at (0.000, 0.000, 0.500).

Its crystal system is tetragonal. Its size of the total moment is 0.000 μB/cell.

=====

Short version: one is the most stable of them.

=====

one.
MgInPd5: optimized geometry, GGA-PBE.

The space group is Imm2 (No. 44) and the conventional cell measures 5.179, 5.257 and 9.310 Å, with angles of 90.00, 90.00 and 90.00 degrees. The asymmetric unit holds Mg at (0.000, 0.000, 0.000), In at (0.000, 0.500, 0.287), Pd at (0.000, 0.245, 0.535), Pd at (0.000, 0.500, 0.014) and Pd at (0.248, 0.000, 0.264).

Its crystal system is orthorhombic. Its size of the total moment is 0.000 μB/cell.

=====

two.
MgInPd5: optimized geometry, GGA-PBE.

The space group is P4/mmm (No. 123) and the conventional cell measures 4.469, 4.469 and 6.085 Å, with angles of 90.00, 90.00 and 90.00 degrees. The asymmetric unit holds Mg at (0.000, 0.000, 0.000), In at (0.500, 0.500, 0.500), Pd at (0.000, 0.000, 0.500) and Pd at (0.000, 0.500, 0.233).

Its crystal system is tetragonal. Its size of the total moment is 0.000 μB/cell.

=====

Short version: two is the most stable of them.

=====

one.
MgInPd4: optimized geometry, GGA-PBE.

The space group is Cmmm (No. 65) and the conventional cell measures 4.474, 9.803 and 4.491 Å, with angles of 90.00, 90.00 and 90.00 degrees. The asymmetric unit holds Mg at (0.000, 0.000, 0.000), In at (0.000, 0.500, 0.500), Pd at (0.000, 0.162, 0.500) and Pd at (0.000, 0.340, 0.000).

Its crystal system is orthorhombic. Its size of the total moment is 0.000 μB/cell.

=====

two.
MgInPd4: optimized geometry, GGA-PBE.

The space group is P4/mmm (No. 123) and the conventional cell measures 4.306, 4.306 and 6.120 Å, with angles of 90.00, 90.00 and 90.00 degrees. The asymmetric unit holds Mg at (0.000, 0.000, 0.000), In at (0.500, 0.500, 0.500) and Pd at (0.000, 0.500, 0.240).

Its crystal system is tetragonal. Its size of the total moment is 0.000 μB/cell.

=====

Short version: one is the most stable of them.

=====

one.
Mg2InPd8: optimized geometry, GGA-PBE.

The space group is Immm (No. 71) and the conventional cell measures 4.300, 6.776 and 12.420 Å, with angles of 90.00, 90.00 and 90.00 degrees. The asymmetric unit holds Mg at (0.000, 0.000, 0.196), In at (0.000, 0.000, 0.500), Pd at (0.000, 0.201, 0.000), Pd at (0.000, 0.284, 0.346) and Pd at (0.000, 0.500, 0.155).

Its crystal system is orthorhombic. Its size of the total moment is 0.000 μB/cell.

=====

two.
Mg2InPd8: optimized geometry, GGA-PBE.

The space group is C2/m (No. 12) and the conventional cell measures 14.244, 4.094 and 6.273 Å, with angles of 90.00, 105.83 and 90.00 degrees. The asymmetric unit holds Mg at (0.222, 0.000, 0.153), In at (0.000, 0.500, 0.500), Pd at (0.042, 0.000, 0.225), Pd at (0.096, 0.500, 0.960), Pd at (0.144, 0.000, 0.694) and Pd at (0.180, 0.500, 0.413).

Its crystal system is monoclinic. Its size of the total moment is 0.000 μB/cell.

=====

Short version: two is the most stable of them.

=====

one.
Mg3In2Pd: optimized geometry, GGA-PBE.

The space group is C2/m (No. 12) and the conventional cell measures 4.686, 14.111 and 7.507 Å, with angles of 90.00, 91.05 and 90.00 degrees. The asymmetric unit holds Mg at (0.003, 0.000, 0.236), Mg at (0.004, 0.322, 0.207), In at (0.000, 0.167, 0.500), In at (0.000, 0.500, 0.000), In at (0.000, 0.500, 0.500) and Pd at (0.000, 0.155, 0.000).

Its crystal system is monoclinic. Its size of the total moment is 0.000 μB/cell.

=====

two.
Mg3In2Pd: optimized geometry, GGA-PBE.

The space group is Cmcm (No. 63) and the conventional cell measures 14.323, 5.764 and 6.248 Å, with angles of 90.00, 90.00 and 90.00 degrees. The asymmetric unit holds Mg at (0.000, 0.192, 0.250), Mg at (0.180, 0.055, 0.750), In at (0.141, 0.500, 0.000) and Pd at (0.000, 0.280, 0.750).

Its crystal system is orthorhombic. Its size of the total moment is 0.000 μB/cell.

=====

Short version: one is the most stable of them.

=====

one.
Mg8In2Pd: optimized geometry, GGA-PBE.

The space group is Immm (No. 71) and the conventional cell measures 4.966, 6.602 and 14.690 Å, with angles of 90.00, 90.00 and 90.00 degrees. The asymmetric unit holds Mg at (0.000, 0.000, 0.181), Mg at (0.000, 0.238, 0.367), Mg at (0.000, 0.239, 0.000), In at (0.000, 0.500, 0.182) and Pd at (0.000, 0.500, 0.500).

Its crystal system is orthorhombic. Its size of the total moment is 0.000 μB/cell.

=====

two.
Mg8In2Pd: optimized geometry, GGA-PBE.

The space group is C2/m (No. 12) and the conventional cell measures 23.488, 4.581 and 4.581 Å, with angles of 90.00, 101.19 and 90.00 degrees. The asymmetric unit holds Mg at (0.064, 0.000, 0.065), Mg at (0.064, 0.500, 0.565), Mg at (0.154, 0.000, 0.654), Mg at (0.250, 0.000, 0.250), In at (0.160, 0.500, 0.159) and Pd at (0.000, 0.000, 0.500).

Its crystal system is monoclinic. Its size of the total moment is 0.000 μB/cell.

=====

Short version: two is the most stable of them.

=====

one.
MgInPd3: optimized geometry, GGA-PBE.

The space group is Pm-3m (No. 221) and the conventional cell measures 4.631, 4.631 and 4.631 Å, with angles of 90.00, 90.00 and 90.00 degrees. The asymmetric unit holds Mg at (0.000, 0.000, 0.000), In at (0.500, 0.500, 0.500) and Pd at (0.000, 0.000, 0.500).

Its crystal system is cubic. Its size of the total moment is 0.000 μB/cell.

=====

two.
MgInPd3: optimized geometry, GGA-PBE.

The space group is P2_1/m (No. 11) and the conventional cell measures 4.316, 5.587 and 7.442 Å, with angles of 90.00, 90.33 and 90.00 degrees. The asymmetric unit holds Mg at (0.248, 0.250, 0.364), In at (0.246, 0.750, 0.062), Pd at (0.250, 0.750, 0.425) and Pd at (0.252, 0.007, 0.754).

Its crystal system is monoclinic. Its size of the total moment is 0.000 μB/cell.

=====

Short version: two is the most stable of them.

=====

one.
Pm2MgIn2: optimized geometry, GGA-PBE.

The space group is Cmc2_1 (No. 36) and the conventional cell measures 4.668, 18.239 and 6.495 Å, with angles of 90.00, 90.00 and 90.00 degrees. The asymmetric unit holds Pm at (0.000, 0.001, 0.000), Pm at (0.000, 0.207, 0.986), Mg at (0.000, 0.392, 0.749), In at (0.000, 0.175, 0.484) and In at (0.000, 0.398, 0.251).

Its crystal system is orthorhombic. Its size of the total moment is 0.129 μB/cell.

=====

two.
Pm2MgIn2: optimized geometry, GGA-PBE.

The space group is P4/mbm (No. 127) and the conventional cell measures 7.712, 7.712 and 4.817 Å, with angles of 90.00, 90.00 and 90.00 degrees. The asymmetric unit holds Pm at (0.168, 0.332, 0.000), Mg at (0.000, 0.000, 0.500) and In at (0.136, 0.636, 0.500).

Its crystal system is tetragonal. Its size of the total moment is 0.000 μB/cell.

=====

Short version: two is the most stable of them.

=====

one.
PmMg2In2: optimized geometry, GGA-PBE.

The space group is Fmmm (No. 69) and the conventional cell measures 6.386, 6.395 and 12.690 Å, with angles of 90.00, 90.00 and 90.00 degrees. The asymmetric unit holds Pm at (0.000, 0.000, 0.000), Mg at (0.250, 0.250, 0.250) and In at (0.000, 0.000, 0.392).

Its crystal system is orthorhombic. Its size of the total moment is 0.000 μB/cell.

=====

two.
PmMg2In2: optimized geometry, GGA-PBE.

The space group is P6_3/mmc (No. 194) and the conventional cell measures 5.1862, 5.1862 and 12.2936 Å, with angles of 90.00, 90.00 and 120.00 degrees. The asymmetric unit holds Pm at (0.0000, 0.0000, 0.2500), Mg at (0.3333, 0.6667, 0.1017), In at (0.0000, 0.0000, 0.0000) and In at (0.3333, 0.6667, 0.7500).

Its crystal system is hexagonal. Its size of the total moment is 0.000 μB/cell.

=====

Short version: one is the most stable of them.

=====

one.
Pm3Mg2In: optimized geometry, GGA-PBE.

The space group is Cmmm (No. 65) and the conventional cell measures 5.420, 16.363 and 3.887 Å, with angles of 90.00, 90.00 and 90.00 degrees. The asymmetric unit holds Pm at (0.000, 0.000, 0.000), Pm at (0.000, 0.334, 0.000), Mg at (0.000, 0.170, 0.500) and In at (0.000, 0.500, 0.500).

Its crystal system is orthorhombic. Its size of the total moment is 0.000 μB/cell.

=====

two.
Pm3Mg2In: optimized geometry, GGA-PBE.

The space group is P4/mmm (No. 123) and the conventional cell measures 3.852, 3.852 and 11.638 Å, with angles of 90.00, 90.00 and 90.00 degrees. The asymmetric unit holds Pm at (0.000, 0.000, 0.000), Pm at (0.000, 0.000, 0.334), Mg at (0.500, 0.500, 0.164) and In at (0.500, 0.500, 0.500).

Its crystal system is tetragonal. Its size of the total moment is 0.001 μB/cell.

=====

Short version: one is the most stable of them.